# 1
# Re2BSbBr

A geometry-optimized Re2BSbBr structure (GGA-PBEsol, Alexandria).

abc: 4.979 4.979 5.580
angles: 90.00 90.00 90.00
Space group P4/mmm (No. 123)
Asymmetric unit:
1 Re 0.000 0.500 0.000
2 B 0.000 0.000 0.500
3 Sb 0.500 0.500 0.000
4 Br 0.500 0.500 0.500

Computed properties:
* formation energy (no corrections): 3127 meV per atom
* total moment: 0.995 μB per atom
* volume: 138.3 Å³/f.u.



# 2
# B2RhBr

A geometry-optimized B2RhBr structure (GGA-PBEsol, Alexandria).

abc: 5.689 5.689 5.689
angles: 90.00 90.00 90.00
Space group Fm-3m (No. 225)
Asymmetric unit:
1 B 0.250 0.250 0.250
2 Rh 0.000 0.000 0.000
3 Br 0.000 0.000 0.500

Computed properties:
* formation energy (no corrections): 1762 meV per atom
* total moment: 0.000 μB per atom
* volume: 46.0 Å³/f.u.



# 3
# BRhBr2

A geometry-optimized BRhBr2 structure (GGA-PBEsol, Alexandria).

abc: 5.489 5.489 9.993
angles: 90.00 90.00 90.00
Space group I-42d (No. 122)
Asymmetric unit:
1 B 0.000 0.000 0.000
2 Rh 0.000 0.000 0.500
3 Br 0.209 0.250 0.125

Computed properties:
* formation energy (no corrections): 1066 meV per atom
* total moment: 0.000 μB per atom
* volume: 75.3 Å³/f.u.



# 4
# BRh2Br

A geometry-optimized BRh2Br structure (GGA-PBEsol, Alexandria).

abc: 5.917 5.917 5.917
angles: 90.00 90.00 90.00
Space group Fm-3m (No. 225)
Asymmetric unit:
1 B 0.000 0.000 0.000
2 Rh 0.250 0.250 0.250
3 Br 0.000 0.000 0.500

Computed properties:
* formation energy (no corrections): 851 meV per atom
* total moment: 0.000 μB per atom
* volume: 51.8 Å³/f.u.



# 5
# BSbRh2Br

A geometry-optimized BSbRh2Br structure (GGA-PBEsol, Alexandria).

abc: 4.932 4.932 4.183
angles: 90.00 90.00 90.00
Space group P4/mmm (No. 123)
Asymmetric unit:
1 B 0.000 0.000 0.000
2 Sb 0.000 0.000 0.500
3 Rh 0.000 0.500 0.500
4 Br 0.500 0.500 0.000

Computed properties:
* formation energy (no corrections): 1416 meV per atom
* total moment: 0.000 μB per atom
* volume: 101.7 Å³/f.u.



# 6
# BRuBr2

A geometry-optimized BRuBr2 structure (GGA-PBEsol, Alexandria).

abc: 3.2506 3.2506 23.6235
angles: 90.00 90.00 120.00
Space group R-3m (No. 166, hexagonal axes)
Asymmetric unit:
1 B 0.0000 0.0000 0.0000
2 Ru 0.0000 0.0000 0.5000
3 Br 0.0000 0.0000 0.0829

Computed properties:
* formation energy (no corrections): 1408 meV per atom
* total moment: 0.410 μB per atom
* volume: 72.1 Å³/f.u.



# 7
# BRuBr2

A geometry-optimized BRuBr2 structure (GGA-PBEsol, Alexandria).

abc: 6.316 6.316 6.316
angles: 90.00 90.00 90.00
Space group Fm-3m (No. 225)
Asymmetric unit:
1 B 0.000 0.000 0.000
2 Ru 0.000 0.000 0.500
3 Br 0.250 0.250 0.250

Computed properties:
* formation energy (no corrections): 1437 meV per atom
* total moment: 0.000 μB per atom
* volume: 63.0 Å³/f.u.



# 8
# BRuW2Br

A geometry-optimized BRuW2Br structure (GGA-PBEsol, Alexandria).

abc: 4.148 4.148 4.379
angles: 90.00 90.00 90.00
Space group P4/mmm (No. 123)
Asymmetric unit:
1 B 0.000 0.000 0.000
2 Ru 0.500 0.500 0.500
3 W 0.000 0.500 0.000
4 Br 0.000 0.000 0.500

Computed properties:
* formation energy (no corrections): 1533 meV per atom
* total moment: 0.000 μB per atom
* volume: 75.3 Å³/f.u.



# 9
# BSBr

A geometry-optimized BSBr structure (GGA-PBEsol, Alexandria).

abc: 13.864 4.165 18.289
angles: 90.00 115.64 90.00
Space group P2_1/c (No. 14)
Asymmetric unit:
1 B 0.124 0.193 0.169
2 B 0.260 0.045 0.599
3 B 0.333 0.039 0.774
4 S 0.133 0.232 0.575
5 S 0.216 0.233 0.773
6 S 0.368 0.569 0.194
7 Br 0.007 0.010 0.845
8 Br 0.285 0.548 0.005
9 Br 0.439 0.567 0.381

Computed properties:
* formation energy (no corrections): -457 meV per atom
* total moment: 0.000 μB per atom
* volume: 79.3 Å³/f.u.



# 10
# ScBSeBr2

A geometry-optimized ScBSeBr2 structure (GGA-PBEsol, Alexandria).

abc: 4.543 4.543 4.646
angles: 90.00 90.00 90.00
Space group P4/mmm (No. 123)
Asymmetric unit:
1 Sc 0.000 0.000 0.000
2 B 0.500 0.500 0.500
3 Se 0.500 0.500 0.000
4 Br 0.000 0.500 0.500

Computed properties:
* formation energy (no corrections): 33 meV per atom
* total moment: 0.104 μB per atom
* volume: 95.9 Å³/f.u.



# 11
# B2SeBr

A geometry-optimized B2SeBr structure (GGA-PBEsol, Alexandria).

abc: 5.733 5.733 7.311
angles: 90.00 90.00 90.00
Space group I-42d (No. 122)
Asymmetric unit:
1 B 0.213 0.250 0.125
2 Se 0.000 0.000 0.000
3 Br 0.000 0.000 0.500

Computed properties:
* formation energy (no corrections): 1201 meV per atom
* total moment: 0.000 μB per atom
* volume: 60.1 Å³/f.u.



# 12
# SnBSe2Br

A geometry-optimized SnBSe2Br structure (GGA-PBEsol, Alexandria).

abc: 5.199 5.199 5.429
angles: 90.00 90.00 90.00
Space group P4/mmm (No. 123)
Asymmetric unit:
1 Sn 0.000 0.000 0.000
2 B 0.500 0.500 0.500
3 Se 0.000 0.500 0.000
4 Br 0.000 0.000 0.500

Computed properties:
* formation energy (no corrections): 1080 meV per atom
* total moment: 0.000 μB per atom
* volume: 146.8 Å³/f.u.



# 13
# TcBSe2Br

A geometry-optimized TcBSe2Br structure (GGA-PBEsol, Alexandria).

abc: 4.301 4.301 4.352
angles: 90.00 90.00 90.00
Space group P4/mmm (No. 123)
Asymmetric unit:
1 Tc 0.000 0.000 0.000
2 B 0.500 0.500 0.500
3 Se 0.000 0.500 0.500
4 Br 0.500 0.500 0.000

Computed properties:
* formation energy (no corrections): 1109 meV per atom
* total moment: 0.000 μB per atom
* volume: 80.5 Å³/f.u.



# 14
# TiBSeBr2

A geometry-optimized TiBSeBr2 structure (GGA-PBEsol, Alexandria).

abc: 4.540 4.540 4.536
angles: 90.00 90.00 90.00
Space group P4/mmm (No. 123)
Asymmetric unit:
1 Ti 0.000 0.000 0.000
2 B 0.500 0.500 0.500
3 Se 0.500 0.500 0.000
4 Br 0.000 0.500 0.500

Computed properties:
* formation energy (no corrections): 459 meV per atom
* total moment: 0.370 μB per atom
* volume: 93.5 Å³/f.u.



# 15
# ZrBSe2Br

A geometry-optimized ZrBSe2Br structure (GGA-PBEsol, Alexandria).

abc: 4.520 4.520 4.372
angles: 90.00 90.00 90.00
Space group P4/mmm (No. 123)
Asymmetric unit:
1 Zr 0.000 0.000 0.000
2 B 0.500 0.500 0.500
3 Se 0.000 0.500 0.500
4 Br 0.500 0.500 0.000

Computed properties:
* formation energy (no corrections): 195 meV per atom
* total moment: 0.015 μB per atom
* volume: 89.3 Å³/f.u.



# 16
# SnBBr2

A geometry-optimized SnBBr2 structure (GGA-PBEsol, Alexandria).

abc: 9.699 9.699 9.699
angles: 90.00 90.00 90.00
Space group Fd-3m (No. 227, origin choice 2)
Asymmetric unit:
1 Sn 0.125 0.125 0.125
2 B 0.125 0.125 0.625
3 Br 0.000 0.000 0.500

Computed properties:
* formation energy (no corrections): 788 meV per atom
* total moment: 0.000 μB per atom
* volume: 114.1 Å³/f.u.



# 17
# Sn3BBr

A geometry-optimized Sn3BBr structure (GGA-PBEsol, Alexandria).

abc: 5.462 5.462 5.462
angles: 90.00 90.00 90.00
Space group Pm-3m (No. 221)
Asymmetric unit:
1 Sn 0.000 0.000 0.500
2 B 0.500 0.500 0.500
3 Br 0.000 0.000 0.000

Computed properties:
* formation energy (no corrections): 1540 meV per atom
* total moment: 0.000 μB per atom
* volume: 163.0 Å³/f.u.



# 18
# Ta2TiBBr

A geometry-optimized Ta2TiBBr structure (GGA-PBEsol, Alexandria).

abc: 4.757 4.757 3.926
angles: 90.00 90.00 90.00
Space group P4/mmm (No. 123)
Asymmetric unit:
1 Ta 0.000 0.500 0.000
2 Ti 0.000 0.000 0.500
3 B 0.500 0.500 0.500
4 Br 0.500 0.500 0.000

Computed properties:
* formation energy (no corrections): 1741 meV per atom
* total moment: 0.000 μB per atom
* volume: 88.8 Å³/f.u.



# 19
# Tb3BBr3

A geometry-optimized Tb3BBr3 structure (GGA-PBEsol, Alexandria).

abc: 11.088 11.088 11.088
angles: 90.00 90.00 90.00
Space group I4_132 (No. 214)
Asymmetric unit:
1 Tb 0.107 0.357 0.125
2 B 0.125 0.125 0.125
3 Br 0.116 0.134 0.625

Computed properties:
* formation energy (no corrections): -1312 meV per atom
* total moment: 0.000 μB per atom
* volume: 170.4 Å³/f.u.



# 20
# Tb4BBr6

A geometry-optimized Tb4BBr6 structure (GGA-PBEsol, Alexandria).

abc: 17.843 11.094 12.407
angles: 90.00 96.90 90.00
Space group C2/c (No. 15)
Asymmetric unit:
1 Tb 0.031 0.113 0.091
2 Tb 0.036 0.351 0.605
3 Tb 0.093 0.121 0.810
4 Tb 0.166 0.120 0.546
5 B 0.037 0.125 0.606
6 Br 0.037 0.378 0.107
7 Br 0.107 0.381 0.821
8 Br 0.110 0.140 0.315
9 Br 0.179 0.133 0.029
10 Br 0.181 0.376 0.535
11 Br 0.244 0.119 0.751

Computed properties:
* formation energy (no corrections): -1523 meV per atom
* total moment: 0.000 μB per atom
* volume: 304.7 Å³/f.u.